{
  "formula": "CaNi2P",
  "functional": "GGA-PBE",
  "state": "optimized geometry",
  "lattice_angstrom": [[2.983, 0.000, 0.000], [0.000, 2.993, 0.000], [0.000, 0.000, 6.797]],
  "species": ["Ca", "Ni", "Ni", "P"],
  "fractional_positions": [[0.000, 0.000, 0.000], [0.500, 0.500, 0.322], [0.500, 0.500, 0.678], [0.000, 0.000, 0.500]],
  "crystal_system": "orthorhombic",
  "formation_enthalpy_0k_ev_per_fu": -0.389,
  "dft_energy_ha_per_atom": -0.178,
  "density_g_cm3": 5.2,
  "dos_ef_per_ev_cell": 3.749
}

---

{
  "formula": "CaNi2P",
  "functional": "GGA-PBE",
  "state": "optimized geometry",
  "lattice_angstrom": [[4.007, 0.000, 0.000], [0.000, 4.007, 0.000], [0.000, 0.000, 3.659]],
  "species": ["Ca", "Ni", "Ni", "P"],
  "fractional_positions": [[0.000, 0.000, 0.000], [0.000, 0.500, 0.500], [0.500, 0.000, 0.500], [0.500, 0.500, 0.000]],
  "crystal_system": "tetragonal",
  "formation_enthalpy_0k_ev_per_fu": -0.326,
  "dft_energy_ha_per_atom": -0.177,
  "density_g_cm3": 5.3,
  "dos_ef_per_ev_cell": 4.707
}

---

{
  "formula": "Ca2Ni12P7",
  "functional": "GGA-PBE",
  "state": "optimized geometry",
  "lattice_angstrom": [[9.114, 0.000, 0.000], [-4.557, 7.893, 0.000], [0.000, 0.000, 3.673]],
  "species": ["Ca", "Ca", "Ni", "Ni", "Ni", "Ni", "Ni", "Ni", "Ni", "Ni", "Ni", "Ni", "Ni", "Ni", "P", "P", "P", "P", "P", "P", "P"],
  "fractional_positions": [[0.333, 0.667, 0.250], [0.667, 0.333, 0.750], [0.056, 0.433, 0.751], [0.114, 0.255, 0.247], [0.142, 0.886, 0.247], [0.255, 0.142, 0.753], [0.377, 0.944, 0.751], [0.433, 0.377, 0.249], [0.567, 0.623, 0.751], [0.623, 0.056, 0.249], [0.745, 0.858, 0.247], [0.858, 0.114, 0.753], [0.886, 0.745, 0.753], [0.944, 0.567, 0.249], [0.000, 0.000, 0.500], [0.111, 0.705, 0.751], [0.295, 0.406, 0.751], [0.406, 0.111, 0.249], [0.594, 0.889, 0.751], [0.705, 0.594, 0.249], [0.889, 0.295, 0.249]],
  "crystal_system": "trigonal",
  "formation_enthalpy_0k_ev_per_fu": -14.167,
  "dft_energy_ha_per_atom": -0.219,
  "density_g_cm3": 6.3,
  "dos_ef_per_ev_cell": 13.278
}

---

{
  "formula": "Ca2NiP",
  "functional": "GGA-PBE",
  "state": "optimized geometry",
  "lattice_angstrom": [[4.103, 0.000, 0.000], [0.000, 4.103, 0.000], [0.000, 0.000, 9.790]],
  "species": ["Ca", "Ca", "Ca", "Ca", "Ni", "Ni", "P", "P"],
  "fractional_positions": [[0.000, 0.000, 0.000], [0.000, 0.500, 0.250], [0.500, 0.000, 0.750], [0.500, 0.500, 0.500], [0.000, 0.500, 0.750], [0.500, 0.000, 0.250], [0.000, 0.000, 0.500], [0.500, 0.500, 0.000]],
  "crystal_system": "tetragonal",
  "formation_enthalpy_0k_ev_per_fu": -1.118,
  "dft_energy_ha_per_atom": -0.150,
  "density_g_cm3": 3.4,
  "dos_ef_per_ev_cell": 6.444
}

---

{
  "formula": "CaNiP3",
  "functional": "GGA-PBE",
  "state": "optimized geometry",
  "lattice_angstrom": [[5.088, 0.000, 0.000], [0.000, 5.088, 0.000], [0.000, 0.000, 5.088]],
  "species": ["Ca", "Ni", "P", "P", "P"],
  "fractional_positions": [[0.000, 0.000, 0.000], [0.500, 0.500, 0.500], [0.000, 0.000, 0.500], [0.000, 0.500, 0.000], [0.500, 0.000, 0.000]],
  "crystal_system": "cubic",
  "formation_enthalpy_0k_ev_per_fu": 7.900,
  "dft_energy_ha_per_atom": -0.118,
  "density_g_cm3": 2.4,
  "dos_ef_per_ev_cell": 7.605
}

---

{
  "formula": "CaNiP2",
  "functional": "GGA-PBE",
  "state": "optimized geometry",
  "lattice_angstrom": [[4.141, 0.000, 0.000], [0.000, 4.141, 0.000], [0.000, 0.000, 3.766]],
  "species": ["Ca", "Ni", "P", "P"],
  "fractional_positions": [[0.000, 0.000, 0.000], [0.500, 0.500, 0.000], [0.000, 0.500, 0.500], [0.500, 0.000, 0.500]],
  "crystal_system": "tetragonal",
  "formation_enthalpy_0k_ev_per_fu": -0.489,
  "dft_energy_ha_per_atom": -0.175,
  "density_g_cm3": 4.1,
  "dos_ef_per_ev_cell": 4.127
}

---

{
  "formula": "CaNi2P",
  "functional": "GGA-PBE",
  "state": "optimized geometry",
  "lattice_angstrom": [[3.459, 0.000, 0.000], [0.000, 4.950, 0.000], [0.000, 0.000, 7.633]],
  "species": ["Ca", "Ca", "Ni", "Ni", "Ni", "Ni", "P", "P"],
  "fractional_positions": [[0.000, 0.000, 0.000], [0.500, 0.500, 0.500], [0.000, 0.500, 0.179], [0.000, 0.500, 0.821], [0.500, 0.000, 0.321], [0.500, 0.000, 0.679], [0.000, 0.000, 0.500], [0.500, 0.500, 0.000]],
  "crystal_system": "orthorhombic",
  "formation_enthalpy_0k_ev_per_fu": -0.999,
  "dft_energy_ha_per_atom": -0.184,
  "density_g_cm3": 4.8,
  "dos_ef_per_ev_cell": 7.095
}

---

{
  "formula": "Ca2NiP",
  "functional": "GGA-PBE",
  "state": "optimized geometry",
  "lattice_angstrom": [[5.609, 0.000, 0.000], [0.000, 4.084, 0.000], [-2.438, 0.000, 7.718]],
  "species": ["Ca", "Ca", "Ca", "Ca", "Ni", "Ni", "P", "P"],
  "fractional_positions": [[0.206, 0.250, 0.416], [0.281, 0.750, 0.059], [0.719, 0.250, 0.941], [0.794, 0.750, 0.584], [0.201, 0.250, 0.765], [0.799, 0.750, 0.235], [0.336, 0.750, 0.713], [0.664, 0.250, 0.287]],
  "crystal_system": "monoclinic",
  "formation_enthalpy_0k_ev_per_fu": -2.750,
  "dft_energy_ha_per_atom": -0.165,
  "density_g_cm3": 3.2,
  "dos_ef_per_ev_cell": 5.879
}

---

{
  "formula": "Ca2NiP",
  "functional": "GGA-PBE",
  "state": "optimized geometry",
  "lattice_angstrom": [[3.796, 0.000, 0.000], [0.000, 4.123, 0.000], [0.000, 0.000, 12.810]],
  "species": ["Ca", "Ca", "Ca", "Ca", "Ni", "Ni", "P", "P"],
  "fractional_positions": [[0.000, 0.000, 0.000], [0.000, 0.500, 0.254], [0.500, 0.000, 0.754], [0.500, 0.500, 0.500], [0.000, 0.500, 0.832], [0.500, 0.000, 0.332], [0.000, 0.000, 0.420], [0.500, 0.500, 0.920]],
  "crystal_system": "orthorhombic",
  "formation_enthalpy_0k_ev_per_fu": -2.206,
  "dft_energy_ha_per_atom": -0.160,
  "density_g_cm3": 2.8,
  "dos_ef_per_ev_cell": 7.735
}

---

{
  "formula": "Ca2Ni3P2",
  "functional": "GGA-PBE",
  "state": "optimized geometry",
  "lattice_angstrom": [[10.369, 0.000, 0.000], [0.000, 3.695, 0.000], [-3.226, 0.000, 5.944]],
  "species": ["Ca", "Ca", "Ca", "Ca", "Ni", "Ni", "Ni", "Ni", "Ni", "Ni", "P", "P", "P", "P"],
  "fractional_positions": [[0.126, 0.000, 0.264], [0.374, 0.500, 0.736], [0.626, 0.500, 0.264], [0.874, 0.000, 0.736], [0.000, 0.500, 0.500], [0.157, 0.500, 0.916], [0.343, 0.000, 0.084], [0.500, 0.000, 0.500], [0.657, 0.000, 0.916], [0.843, 0.500, 0.084], [0.150, 0.000, 0.721], [0.350, 0.500, 0.279], [0.650, 0.500, 0.721], [0.850, 0.000, 0.279]],
  "crystal_system": "monoclinic",
  "formation_enthalpy_0k_ev_per_fu": -4.842,
  "dft_energy_ha_per_atom": -0.194,
  "density_g_cm3": 4.6,
  "dos_ef_per_ev_cell": 9.278
}

---

{
  "formula": "CaNiP2",
  "functional": "GGA-PBE",
  "state": "optimized geometry",
  "lattice_angstrom": [[6.419, 0.000, 0.000], [0.000, 6.419, 0.000], [0.000, 0.000, 6.419]],
  "species": ["Ca", "Ca", "Ca", "Ca", "Ni", "Ni", "Ni", "Ni", "P", "P", "P", "P", "P", "P", "P", "P"],
  "fractional_positions": [[0.000, 0.000, 0.000], [0.000, 0.500, 0.500], [0.500, 0.000, 0.500], [0.500, 0.500, 0.000], [0.250, 0.250, 0.250], [0.250, 0.750, 0.750], [0.750, 0.250, 0.750], [0.750, 0.750, 0.250], [0.000, 0.000, 0.500], [0.000, 0.500, 0.000], [0.250, 0.250, 0.750], [0.250, 0.750, 0.250], [0.500, 0.000, 0.000], [0.500, 0.500, 0.500], [0.750, 0.250, 0.250], [0.750, 0.750, 0.750]],
  "crystal_system": "cubic",
  "formation_enthalpy_0k_ev_per_fu": 0.478,
  "dft_energy_ha_per_atom": -0.167,
  "density_g_cm3": 4.0,
  "dos_ef_per_ev_cell": 13.446
}

---

{
  "formula": "CaNi3P2",
  "functional": "GGA-PBE",
  "state": "optimized geometry",
  "lattice_angstrom": [[7.138, -1.862, 0.000], [7.138, 1.862, 0.000], [-2.818, 0.000, 6.324]],
  "species": ["Ca", "Ca", "Ni", "Ni", "Ni", "Ni", "Ni", "Ni", "P", "P", "P", "P"],
  "fractional_positions": [[0.156, 0.156, 0.066], [0.844, 0.844, 0.934], [0.043, 0.043, 0.363], [0.317, 0.317, 0.566], [0.408, 0.408, 0.327], [0.592, 0.592, 0.673], [0.683, 0.683, 0.434], [0.957, 0.957, 0.637], [0.185, 0.185, 0.664], [0.481, 0.481, 0.823], [0.519, 0.519, 0.177], [0.815, 0.815, 0.336]],
  "crystal_system": "monoclinic",
  "formation_enthalpy_0k_ev_per_fu": -4.465,
  "dft_energy_ha_per_atom": -0.212,
  "density_g_cm3": 5.5,
  "dos_ef_per_ev_cell": 6.583
}